1.
Below is a relaxed Ce2Cd2Os crystal, with properties calculated at the PBE level.

Computed properties:
DOS(E_F)   7.11 states/eV per cell
Space-group type   No. 139
ρ   9.97 Mg/m³
Formation energy from the elements   -0.20 eV/atom

abc: 11.220 11.220 11.220
angles: 163.36 163.36 23.62
Atoms (fractional coordinates):
Ce (0.084, 0.084, 0.000)
Ce (0.916, 0.916, 0.000)
Cd (0.299, 0.299, 0.000)
Cd (0.701, 0.701, 0.000)
Os (0.500, 0.500, 0.000)

2.
Below is a relaxed Ce3CdOs crystal, with properties calculated at the PBE level.

Computed properties:
DOS(E_F)   17.86 states/eV per cell
Space-group type   No. 221
ρ   7.56 Mg/m³
Energy relative to the lowest polymorph listed for this composition   0.74 eV per formula unit
Formation energy from the elements   0.00 eV/atom

abc: 5.416 5.416 5.416
angles: 90.00 90.00 90.00
Atoms (fractional coordinates):
Ce (0.000, 0.000, 0.500)
Ce (0.000, 0.500, 0.000)
Ce (0.500, 0.000, 0.000)
Cd (0.500, 0.500, 0.500)
Os (0.000, 0.000, 0.000)

Question: What is the formation energy from the elements in the second record?
Answer: 0.00 eV/atom